#w
{
  "formula": "SrTa",
  "functional": "PBE",
  "state": "optimized geometry",
  "lattice_angstrom": [[-1.763, 7.114, 4.006], [1.763, -7.114, 4.006], [1.763, 7.114, -4.006]],
  "species": ["Sr", "Sr", "Sr", "Ta", "Ta", "Ta"],
  "fractional_positions": [[0.000, 0.000, 0.000], [0.095, 0.809, 0.286], [0.523, 0.809, 0.714], [0.456, 0.456, 0.000], [0.567, 0.157, 0.410], [0.746, 0.157, 0.590]],
  "crystal_system": "orthorhombic",
  "space_group": "No. 44",
  "rho_g_cm3": 6.7
}

#x
{
  "formula": "SrTa",
  "functional": "PBE",
  "state": "optimized geometry",
  "lattice_angstrom": [[12.067, 0.000, 0.000], [-6.033, 10.450, 0.000], [0.000, 0.000, 3.147]],
  "species": ["Sr", "Sr", "Sr", "Sr", "Sr", "Sr", "Ta", "Ta", "Ta", "Ta", "Ta", "Ta"],
  "fractional_positions": [[0.051, 0.338, 0.250], [0.287, 0.949, 0.250], [0.338, 0.287, 0.750], [0.662, 0.713, 0.250], [0.713, 0.051, 0.750], [0.949, 0.662, 0.750], [0.197, 0.646, 0.250], [0.354, 0.552, 0.250], [0.448, 0.803, 0.250], [0.552, 0.197, 0.750], [0.646, 0.448, 0.750], [0.803, 0.354, 0.750]],
  "crystal_system": "hexagonal",
  "space_group": "No. 176",
  "rho_g_cm3": 6.7
}

Computed relative energies in units of meV per atom: #w 0; #x 338

#w
{
  "formula": "SrTa",
  "functional": "PBE",
  "state": "optimized geometry",
  "lattice_angstrom": [[-7.127, 7.127, 1.617], [7.127, -7.127, 1.617], [7.127, 7.127, -1.617]],
  "species": ["Sr", "Sr", "Sr", "Sr", "Ta", "Ta", "Ta", "Ta"],
  "fractional_positions": [[0.043, 0.302, 0.346], [0.302, 0.957, 0.259], [0.698, 0.043, 0.741], [0.957, 0.698, 0.654], [0.179, 0.754, 0.933], [0.246, 0.179, 0.426], [0.754, 0.821, 0.574], [0.821, 0.246, 0.067]],
  "crystal_system": "tetragonal",
  "space_group": "No. 87",
  "rho_g_cm3": 5.4
}

#x
{
  "formula": "SrTa",
  "functional": "PBE",
  "state": "optimized geometry",
  "lattice_angstrom": [[5.792, 0.000, 0.000], [-2.896, 5.016, 0.000], [0.000, 0.000, 8.343]],
  "species": ["Sr", "Sr", "Sr", "Sr", "Ta", "Ta", "Ta", "Ta"],
  "fractional_positions": [[0.000, 0.000, 0.250], [0.000, 0.000, 0.750], [0.333, 0.667, 0.250], [0.667, 0.333, 0.750], [0.333, 0.667, 0.606], [0.333, 0.667, 0.894], [0.667, 0.333, 0.106], [0.667, 0.333, 0.394]],
  "crystal_system": "hexagonal",
  "space_group": "No. 194",
  "rho_g_cm3": 7.4
}

Computed relative energies in units of meV per atom: #w 7; #x 0

#w
{
  "formula": "SrTa",
  "functional": "PBE",
  "state": "optimized geometry",
  "lattice_angstrom": [[1.597, 0.922, 5.786], [-1.597, 0.922, 5.786], [0.000, -1.844, 5.786]],
  "species": ["Sr", "Ta"],
  "fractional_positions": [[0.000, 0.000, 0.000], [0.500, 0.500, 0.500]],
  "crystal_system": "trigonal",
  "space_group": "No. 166",
  "rho_g_cm3": 8.7
}

#x
{
  "formula": "SrTa",
  "functional": "PBE",
  "state": "optimized geometry",
  "lattice_angstrom": [[-1.710, 3.052, 5.692], [1.710, -3.052, 5.692], [1.710, 3.052, -5.692]],
  "species": ["Sr", "Sr", "Ta", "Ta"],
  "fractional_positions": [[0.350, 0.100, 0.250], [0.650, 0.900, 0.750], [0.084, 0.334, 0.750], [0.916, 0.666, 0.250]],
  "crystal_system": "orthorhombic",
  "space_group": "No. 74",
  "rho_g_cm3": 7.5
}

#y
{
  "formula": "SrTa",
  "functional": "PBE",
  "state": "optimized geometry",
  "lattice_angstrom": [[6.712, -1.847, 0.000], [6.712, 1.847, 0.000], [-2.132, 0.000, 7.500]],
  "species": ["Sr", "Sr", "Sr", "Ta", "Ta", "Ta"],
  "fractional_positions": [[0.000, 0.000, 0.000], [0.018, 0.018, 0.482], [0.298, 0.298, 0.631], [0.305, 0.305, 0.150], [0.689, 0.689, 0.258], [0.696, 0.696, 0.919]],
  "crystal_system": "monoclinic",
  "space_group": "No. 8",
  "rho_g_cm3": 7.2
}

Computed relative energies in units of meV per atom: #w 500; #x 188; #y 0

#w
{
  "formula": "SrTa",
  "functional": "PBE",
  "state": "optimized geometry",
  "lattice_angstrom": [[0.000, 3.254, 3.254], [3.254, 0.000, 3.254], [3.254, 3.254, 0.000]],
  "species": ["Sr", "Ta"],
  "fractional_positions": [[0.000, 0.000, 0.000], [0.500, 0.500, 0.500]],
  "crystal_system": "cubic",
  "space_group": "No. 225",
  "rho_g_cm3": 6.5
}

#x
{
  "formula": "SrTa",
  "functional": "PBE",
  "state": "optimized geometry",
  "lattice_angstrom": [[12.067, 0.000, 0.000], [0.000, 12.067, 0.000], [0.000, 0.000, 4.517]],
  "species": ["Sr", "Sr", "Sr", "Sr", "Sr", "Sr", "Sr", "Sr", "Ta", "Ta", "Ta", "Ta", "Ta", "Ta", "Ta", "Ta"],
  "fractional_positions": [[0.098, 0.369, 0.000], [0.209, 0.657, 0.500], [0.343, 0.209, 0.500], [0.369, 0.902, 0.000], [0.631, 0.098, 0.000], [0.657, 0.791, 0.500], [0.791, 0.343, 0.500], [0.902, 0.631, 0.000], [0.041, 0.157, 0.500], [0.093, 0.841, 0.000], [0.157, 0.959, 0.500], [0.159, 0.093, 0.000], [0.841, 0.907, 0.000], [0.843, 0.041, 0.500], [0.907, 0.159, 0.000], [0.959, 0.843, 0.500]],
  "crystal_system": "tetragonal",
  "space_group": "No. 83",
  "rho_g_cm3": 5.4
}

Computed relative energies in units of meV per atom: #w 1677; #x 0

#w
{
  "formula": "SrTa",
  "functional": "PBE",
  "state": "optimized geometry",
  "lattice_angstrom": [[5.185, -3.995, 0.000], [5.185, 3.995, 0.000], [0.000, 0.000, 6.159]],
  "species": ["Sr", "Sr", "Sr", "Sr", "Ta", "Ta", "Ta", "Ta"],
  "fractional_positions": [[0.031, 0.324, 0.250], [0.324, 0.031, 0.750], [0.676, 0.969, 0.250], [0.969, 0.676, 0.750], [0.251, 0.749, 0.250], [0.500, 0.500, 0.000], [0.500, 0.500, 0.500], [0.749, 0.251, 0.750]],
  "crystal_system": "orthorhombic",
  "space_group": "No. 63",
  "rho_g_cm3": 7.0
}

#x
{
  "formula": "SrTa",
  "functional": "PBE",
  "state": "optimized geometry",
  "lattice_angstrom": [[9.519, 0.000, 0.000], [0.000, 4.115, 0.000], [0.000, 0.000, 6.718]],
  "species": ["Sr", "Sr", "Sr", "Sr", "Ta", "Ta", "Ta", "Ta"],
  "fractional_positions": [[0.184, 0.250, 0.110], [0.316, 0.750, 0.610], [0.684, 0.250, 0.390], [0.816, 0.750, 0.890], [0.027, 0.250, 0.605], [0.473, 0.750, 0.105], [0.527, 0.250, 0.895], [0.973, 0.750, 0.395]],
  "crystal_system": "orthorhombic",
  "space_group": "No. 62",
  "rho_g_cm3": 6.8
}

#y
{
  "formula": "SrTa",
  "functional": "PBE",
  "state": "optimized geometry",
  "lattice_angstrom": [[9.448, 0.000, 0.000], [0.000, 9.448, 0.000], [0.000, 0.000, 9.448]],
  "species": ["Sr", "Sr", "Sr", "Sr", "Sr", "Sr", "Ta", "Ta", "Ta", "Ta", "Ta", "Ta"],
  "fractional_positions": [[0.000, 0.250, 0.500], [0.000, 0.750, 0.500], [0.250, 0.500, 0.000], [0.500, 0.000, 0.250], [0.500, 0.000, 0.750], [0.750, 0.500, 0.000], [0.000, 0.500, 0.250], [0.000, 0.500, 0.750], [0.250, 0.000, 0.500], [0.500, 0.250, 0.000], [0.500, 0.750, 0.000], [0.750, 0.000, 0.500]],
  "crystal_system": "cubic",
  "space_group": "No. 223",
  "rho_g_cm3": 3.2
}

#z
{
  "formula": "SrTa",
  "functional": "PBE",
  "state": "optimized geometry",
  "lattice_angstrom": [[4.620, 0.000, 0.000], [-2.310, 4.001, 0.000], [0.000, 0.000, 15.045]],
  "species": ["Sr", "Sr", "Sr", "Sr", "Ta", "Ta", "Ta", "Ta"],
  "fractional_positions": [[0.333, 0.667, 0.109], [0.333, 0.667, 0.391], [0.667, 0.333, 0.609], [0.667, 0.333, 0.891], [0.000, 0.000, 0.250], [0.000, 0.000, 0.750], [0.333, 0.667, 0.750], [0.667, 0.333, 0.250]],
  "crystal_system": "hexagonal",
  "space_group": "No. 194",
  "rho_g_cm3": 6.4
}

Computed relative energies in units of meV per atom: #w 0; #x 202; #y 2249; #z 22

#w
{
  "formula": "SrTa",
  "functional": "PBE",
  "state": "optimized geometry",
  "lattice_angstrom": [[-4.894, 4.894, 4.894], [4.894, -4.894, 4.894], [4.894, 4.894, -4.894]],
  "species": ["Sr", "Sr", "Sr", "Sr", "Ta", "Ta", "Ta", "Ta"],
  "fractional_positions": [[0.000, 0.000, 0.578], [0.000, 0.578, 0.000], [0.422, 0.422, 0.422], [0.578, 0.000, 0.000], [0.000, 0.000, 0.186], [0.000, 0.186, 0.000], [0.186, 0.000, 0.000], [0.814, 0.814, 0.814]],
  "crystal_system": "cubic",
  "space_group": "No. 217",
  "rho_g_cm3": 3.8
}

#x
{
  "formula": "SrTa",
  "functional": "PBE",
  "state": "optimized geometry",
  "lattice_angstrom": [[3.005, 0.000, 0.000], [0.000, 3.005, 0.000], [0.000, 0.000, 5.646]],
  "species": ["Sr", "Ta"],
  "fractional_positions": [[0.000, 0.000, 0.000], [0.500, 0.500, 0.500]],
  "crystal_system": "tetragonal",
  "space_group": "No. 123",
  "rho_g_cm3": 8.7
}

Computed relative energies in units of meV per atom: #w 135; #x 0

#w
{
  "formula": "SrTa",
  "functional": "PBE",
  "state": "optimized geometry",
  "lattice_angstrom": [[3.638, 0.000, 0.000], [0.000, 3.638, 0.000], [0.000, 0.000, 9.393]],
  "species": ["Sr", "Sr", "Ta", "Ta"],
  "fractional_positions": [[0.250, 0.250, 0.192], [0.750, 0.750, 0.808], [0.250, 0.250, 0.553], [0.750, 0.750, 0.447]],
  "crystal_system": "tetragonal",
  "space_group": "No. 129",
  "rho_g_cm3": 7.2
}

#x
{
  "formula": "SrTa",
  "functional": "PBE",
  "state": "optimized geometry",
  "lattice_angstrom": [[3.224, 0.000, 0.000], [-1.612, 2.792, 0.000], [0.000, 0.000, 5.725]],
  "species": ["Sr", "Ta"],
  "fractional_positions": [[0.000, 0.000, 0.000], [0.667, 0.333, 0.500]],
  "crystal_system": "hexagonal",
  "space_group": "No. 187",
  "rho_g_cm3": 8.7
}

Computed relative energies in units of meV per atom: #w 0; #x 697

#w
{
  "formula": "Sr3Ta5",
  "functional": "PBE",
  "state": "optimized geometry",
  "lattice_angstrom": [[5.024, -5.407, 0.000], [5.024, 5.407, 0.000], [0.000, 0.000, 3.459]],
  "species": ["Sr", "Sr", "Sr", "Ta", "Ta", "Ta", "Ta", "Ta"],
  "fractional_positions": [[0.000, 0.000, 0.000], [0.251, 0.251, 0.500], [0.749, 0.749, 0.500], [0.000, 0.500, 0.000], [0.289, 0.711, 0.500], [0.500, 0.000, 0.000], [0.500, 0.500, 0.000], [0.711, 0.289, 0.500]],
  "crystal_system": "orthorhombic",
  "space_group": "No. 65",
  "rho_g_cm3": 10.3
}

#x
{
  "formula": "Sr3Ta5",
  "functional": "PBE",
  "state": "optimized geometry",
  "lattice_angstrom": [[10.682, 0.000, 0.000], [-5.341, 9.251, 0.000], [0.000, 0.000, 5.020]],
  "species": ["Sr", "Sr", "Sr", "Sr", "Sr", "Sr", "Ta", "Ta", "Ta", "Ta", "Ta", "Ta", "Ta", "Ta", "Ta", "Ta"],
  "fractional_positions": [[0.000, 0.371, 0.250], [0.000, 0.629, 0.750], [0.371, 0.000, 0.250], [0.371, 0.371, 0.750], [0.629, 0.000, 0.750], [0.629, 0.629, 0.250], [0.000, 0.144, 0.750], [0.000, 0.856, 0.250], [0.144, 0.000, 0.750], [0.144, 0.144, 0.250], [0.333, 0.667, 0.000], [0.333, 0.667, 0.500], [0.667, 0.333, 0.000], [0.667, 0.333, 0.500], [0.856, 0.000, 0.250], [0.856, 0.856, 0.750]],
  "crystal_system": "hexagonal",
  "space_group": "No. 193",
  "rho_g_cm3": 7.8
}

Computed relative energies in units of meV per atom: #w 37; #x 0